ScCr3Si (PBE, optimized geometry); E_tot = -31.4 eV/cell; polymorph energy (0 for the lowest one) = 1230 meV per atom; volume = 18.55 Å³/atom
1.0
4.527 0.000 0.000
0.000 4.527 0.000
0.000 0.000 4.527
Sc Cr Si
1 3 1
Direct
0.000 0.000 0.000
0.000 0.000 0.500
0.000 0.500 0.000
0.500 0.000 0.000
0.500 0.500 0.500


LiCu2F6 (PBE, optimized geometry); E_tot = -74.8 eV/cell; polymorph energy (0 for the lowest one) = 24 meV per atom; volume = 11.10 Å³/atom
1.0
4.534 0.000 0.000
0.000 5.111 0.000
0.000 0.000 8.626
Li Cu F
2 4 12
Direct
0.000 0.000 0.000
0.500 0.500 0.500
0.000 0.500 0.179
0.000 0.500 0.821
0.500 0.000 0.321
0.500 0.000 0.679
0.208 0.338 0.000
0.247 0.826 0.170
0.247 0.826 0.830
0.253 0.326 0.330
0.253 0.326 0.670
0.292 0.838 0.500
0.708 0.162 0.500
0.747 0.674 0.330
0.747 0.674 0.670
0.753 0.174 0.170
0.753 0.174 0.830
0.792 0.662 0.000


Sn3Sb2Pd8 (PBE, optimized geometry); E_tot = -65.4 eV/cell; volume = 19.41 Å³/atom
1.0
2.754 1.590 9.599
-2.754 1.590 9.599
0.000 -3.181 9.599
Sn Sb Pd
3 2 8
Direct
0.000 0.000 0.000
0.191 0.191 0.191
0.809 0.809 0.809
0.371 0.371 0.371
0.629 0.629 0.629
0.220 0.723 0.723
0.277 0.277 0.780
0.277 0.780 0.277
0.281 0.281 0.281
0.719 0.719 0.719
0.723 0.220 0.723
0.723 0.723 0.220
0.780 0.277 0.277


In order of appearance, E_form (uncorrected) = 1.84, -1.79, -0.27 eV/atom.